(1)
## LaMgIn (PBE)

Data for LaMgIn after structural relaxation.

## Properties
* energy relative to the elements: -274 meV/atom
* magnetization: 0.000 μB per formula unit

Cell lengths 3.3190, 6.0179, 8.9044 Å; angles 105.90, 100.74, 90.01 degrees
With the nearest neighbours (Å) after each atom.
Space group P1 (No. 1)
Symmetry-distinct sites (fractional):
La 0.0000 0.0000 0.0000 [1 per cell]  2 La 3.32, 3 Mg 3.45-3.62, 6 In 3.45-3.49
La 0.1509 0.6104 0.3004 [1 per cell]  2 La 3.32, 3 Mg 3.44-3.62, 6 In 3.45-3.49
Mg 0.3221 0.0583 0.6461 [1 per cell]  3 In 3.04-3.15, 4 Mg 3.32-3.39
Mg 0.8268 0.5520 0.6542 [1 per cell]  3 In 3.04-3.15, 4 Mg 3.32-3.39
In 0.4704 0.4723 0.9402 [1 per cell]  3 Mg 3.04-3.15, 2 In 3.32
In 0.6804 0.1381 0.3602 [1 per cell]  3 Mg 3.04-3.15, 2 In 3.32

***

(2)
## LaMgIn (PBE)

Data for LaMgIn after structural relaxation.

## Properties
* energy relative to the elements: -322 meV/atom
* magnetization: 0.443 μB per formula unit

Cell lengths 17.1908, 4.6105, 4.6135 Å; angles 90.00, 105.52, 90.00 degrees
With the nearest neighbours (Å) after each atom.
Space group C2/m (No. 12)
Symmetry-distinct sites (fractional):
La 0.1704 0.0000 0.1700 [4 per cell]  5 In 3.36-3.43, 4 Mg 3.64-3.65
Mg 0.0000 0.0000 0.5000 [2 per cell]  4 In 3.07, 4 Mg 3.26
Mg 0.0000 0.5000 0.0000 [2 per cell]  4 In 3.07, 4 Mg 3.26
In 0.1225 0.5000 0.6223 [4 per cell]  4 Mg 3.07, 5 La 3.36-3.43